1.
A plane-wave DFT calculation with PBE-GGA was carried out for a relaxed Nd2DyNi crystal.

Geometry as POSCAR:
```
Nd2DyNi
1.0
6.987 0.000 0.000
0.000 9.977 0.000
0.000 0.000 6.398
Nd Dy Ni
8 4 4
direct
0.179 0.067 0.176 Nd
0.179 0.433 0.176 Nd
0.321 0.567 0.676 Nd
0.321 0.933 0.676 Nd
0.679 0.067 0.324 Nd
0.679 0.433 0.324 Nd
0.821 0.567 0.824 Nd
0.821 0.933 0.824 Nd
0.036 0.250 0.652 Dy
0.464 0.750 0.152 Dy
0.536 0.250 0.848 Dy
0.964 0.750 0.348 Dy
0.114 0.750 0.945 Ni
0.386 0.250 0.445 Ni
0.614 0.750 0.555 Ni
0.886 0.250 0.055 Ni
```

Calculated values
Calculated formation energy ... -0.19 eV per atom
Total DFT energy (no corrections) ... -5.170 eV per atom
SG ... No. 62
D(E_F) ... 15.989 states/eV/cell
Excess energy over the best structure of this formula in the dataset ... 0.000 kcal/mol of atoms

2.
A plane-wave DFT calculation with PBE-GGA was carried out for a relaxed Co2ReTe crystal.

Geometry as POSCAR:
```
Co2ReTe
1.0
3.160 0.000 0.000
0.000 3.160 0.000
0.000 0.000 5.790
Co Re Te
2 1 1
direct
0.000 0.000 0.000 Co
0.500 0.500 0.225 Co
0.000 0.000 0.434 Re
0.500 0.500 0.769 Te
```

Calculated values
Total DFT energy (no corrections) ... -6.951 eV per atom
SG ... No. 99
D(E_F) ... 4.835 states/eV/cell
ΔE_f (raw) ... 193 kJ/mol of formula units

3.
A plane-wave DFT calculation with PBE-GGA was carried out for a relaxed Na2Hg4Bi crystal.

Geometry as POSCAR:
```
Na2Hg4Bi
1.0
-2.963 2.963 7.960
2.963 -2.963 7.960
2.963 2.963 -7.960
Na Hg Bi
2 4 1
direct
0.104 0.104 0.000 Na
0.896 0.896 0.000 Na
0.000 0.500 0.500 Hg
0.292 0.292 0.000 Hg
0.500 0.000 0.500 Hg
0.708 0.708 0.000 Hg
0.500 0.500 0.000 Bi
```

Calculated values
Calculated formation energy ... -0.02 eV per atom
Total DFT energy (no corrections) ... -1.122 eV per atom
SG ... No. 139
D(E_F) ... 2.385 states/eV/cell
Excess energy over the best structure of this formula in the dataset ... 2.844 kcal/mol of atoms